# 1
## Ge4SbPt2 (PBE)

Data for a relaxed Ge4SbPt2 crystal.

Geometry as extended XYZ:
```
14
Lattice="-1.740 -5.940 1.086 3.728 -1.741 -4.694 5.633 -5.187 3.414" Properties=species:S:1:pos:R:3 pbc="T T T"
Sb 2.054 -7.511 -3.430
Sb 4.949 -5.560 -1.792
Ge 6.003 -7.289 0.056
Ge 2.364 -4.174 -2.481
Ge 0.932 -6.572 1.532
Ge 3.010 -8.285 -0.133
Ge 3.977 -3.489 0.929
Ge 5.515 -10.292 1.575
Ge 1.234 -3.300 -0.137
Ge 4.370 -6.669 1.905
Pt 2.854 -5.617 0.126
Pt 4.261 -8.741 3.319
Pt 5.094 -9.495 -0.916
Pt 2.549 -1.541 -2.177
```

Properties
- ΔE_f (raw): -0.1871 eV per atom
- E: -5.140 eV/atom

=====

# 2
## Cr2AgP (PBE)

Data for a relaxed Cr2AgP crystal.

Geometry as extended XYZ:
```
4
Lattice="-6.238 -1.805 5.336 -4.186 -3.113 6.591 -4.580 -0.440 7.034" Properties=species:S:1:pos:R:3 pbc="T T T"
Ag -11.253 -4.018 14.221
Cr -14.829 -5.295 18.741
Cr -7.677 -2.741 9.702
P -3.751 -1.339 4.740
```

Properties
- Formation energy from the elements: 1.3 eV/f.u.
- E: -6.553 eV/atom

=====

# 3
## NaLi2HPd (PBE)

Data for a relaxed NaLi2HPd crystal.

Geometry as extended XYZ:
```
5
Lattice="-1.163 -0.097 -3.917 -1.750 -3.642 0.610 -3.702 1.955 1.051" Properties=species:S:1:pos:R:3 pbc="T T T"
Na -1.851 0.977 0.525
H 0.000 0.000 0.000
Pd -3.308 -0.892 -1.128
Li -0.875 -1.821 0.305
Li -0.582 -0.049 -1.958
```

Properties
- E: -2.898 eV/atom

=====

# 4
## CuAg4Pd3 (PBE)

Data for a relaxed CuAg4Pd3 crystal.

Geometry as extended XYZ:
```
8
Lattice="-0.935 -1.904 -1.798 7.667 0.872 -4.913 -1.113 -3.274 6.198" Properties=species:S:1:pos:R:3 pbc="T T T"
Pd 4.643 -2.665 -1.744
Pd 0.976 -1.641 1.231
Pd 3.833 0.436 -2.456
Ag 5.804 -1.285 -3.809
Ag -0.186 -3.021 3.297
Ag 3.526 -2.599 0.918
Ag 2.092 -1.707 -1.431
Cu -0.468 -0.952 -0.899
```

Properties
- Formation energy from the elements: 0.4 eV/f.u.
- E: -3.837 eV/atom

=====

# 5
## NbGaHSI (PBE)

Data for a relaxed NbGaHSI crystal.

Geometry as extended XYZ:
```
10
Lattice="7.387 0.000 0.044 0.000 3.630 0.000 -0.761 0.000 8.840" Properties=species:S:1:pos:R:3 pbc="T T T"
Nb 1.862 0.000 0.149
Nb 1.482 1.815 4.569
Ga 3.187 0.000 2.425
Ga 2.807 1.815 6.845
H 1.647 0.000 3.820
H 1.267 1.815 8.241
S 3.501 0.000 8.205
S 3.881 1.815 3.785
I -0.222 0.000 6.060
I 0.158 1.815 1.640
```

Properties
- E: -4.616 eV/atom

=====

# 6
## Sr2TiGa3Pt4 (PBE)

Data for a relaxed Sr2TiGa3Pt4 crystal.

Geometry as extended XYZ:
```
10
Lattice="4.233 0.000 0.000 0.000 4.233 0.000 0.000 0.000 11.226" Properties=species:S:1:pos:R:3 pbc="T T T"
Sr 2.116 0.000 2.746
Sr 0.000 2.116 8.480
Ti 2.116 2.116 5.613
Ga 0.000 0.000 5.613
Ga 2.116 0.000 9.758
Ga 0.000 2.116 1.468
Pt 2.116 2.116 0.000
Pt 0.000 0.000 0.000
Pt 2.116 0.000 7.154
Pt 0.000 2.116 4.072
```

Properties
- Formation energy from the elements: -8.4 eV/f.u.
- E: -5.289 eV/atom

=====

Question: What is the E in the fifth record?
Answer: -4.616 eV/atom

=====

Question: What is the formula in the fifth record?
Answer: NbGaHSI

=====

Question: Which of these has the lowest E?
Answer: Cr2AgP

=====

Question: What is the formula in the first record?
Answer: Ge4SbPt2